1.
# GGA-PBE Na2Sn2Sb3, optimized geometry
# - VASP energy: -0.249 Ry/atom
# - Total magnetic moment: 0.00 μB per cell
data_Na2Sn2Sb3
_cell_length_a 8.485
_cell_length_b 8.173
_cell_length_c 7.179
_cell_angle_alpha 90.00
_cell_angle_beta 106.42
_cell_angle_gamma 90.00
_space_group_name_H-M_alt 'P 1 21/c 1'
_space_group_IT_number 14
_space_group_name_Hall '-P 2ybc'
loop_
_atom_site_label
_atom_site_fract_x
_atom_site_fract_y
_atom_site_fract_z
_atom_site_occupancy
Na1 0.177 0.224 0.334 1
Sn1 0.329 0.625 0.538 1
Sb1 0.000 0.000 0.000 1
Sb2 0.397 0.526 0.159 1

***

2.
# GGA-PBE VInIrRh, optimized geometry
# - Total magnetic moment: 7.49 μB per cell
# - DFT formation energy: -0.8 eV/f.u.
data_VInIrRh
_cell_length_a 6.305
_cell_length_b 6.305
_cell_length_c 6.305
_cell_angle_alpha 90.00
_cell_angle_beta 90.00
_cell_angle_gamma 90.00
_space_group_name_H-M_alt 'F -4 3 m'
_space_group_IT_number 216
_space_group_name_Hall 'F -4 2 3'
loop_
_atom_site_label
_atom_site_fract_x
_atom_site_fract_y
_atom_site_fract_z
_atom_site_occupancy
V1 0.000 0.000 0.000 1
In1 0.000 0.000 0.500 1
Ir1 0.250 0.250 0.750 1
Rh1 0.250 0.250 0.250 1

***

3.
# GGA-PBE Sm3CuSi, optimized geometry
# - VASP energy: -0.372 Ry/atom
# - Total magnetic moment: 0.01 μB per cell
data_Sm3CuSi
_cell_length_a 4.302
_cell_length_b 7.305
_cell_length_c 8.503
_cell_angle_alpha 92.58
_cell_angle_beta 90.14
_cell_angle_gamma 107.00
_space_group_name_H-M_alt 'P -1'
_space_group_IT_number 2
_space_group_name_Hall '-P 1'
loop_
_atom_site_label
_atom_site_fract_x
_atom_site_fract_y
_atom_site_fract_z
_atom_site_occupancy
Sm1 0.055 0.110 0.307 1
Sm2 0.235 0.467 0.676 1
Sm3 0.396 0.798 0.081 1
Cu1 0.209 0.414 0.058 1
Si1 0.416 0.831 0.441 1

***

4.
# GGA-PBE Na2SrTeSe, optimized geometry
# - VASP energy: -0.248 Ry/atom
# - Total magnetic moment: 0.00 μB per cell
data_Na2SrTeSe
_cell_length_a 5.289
_cell_length_b 5.289
_cell_length_c 6.012
_cell_angle_alpha 90.00
_cell_angle_beta 90.00
_cell_angle_gamma 90.00
_space_group_name_H-M_alt 'P 4/m m m'
_space_group_IT_number 123
_space_group_name_Hall '-P 4 2'
loop_
_atom_site_label
_atom_site_fract_x
_atom_site_fract_y
_atom_site_fract_z
_atom_site_occupancy
Na1 0.000 0.500 0.000 1
Sr1 0.000 0.000 0.500 1
Te1 0.500 0.500 0.500 1
Se1 0.000 0.000 0.000 1

***

5.
# GGA-PBE Sr2CaSi2, optimized geometry
# - Total magnetic moment: 0.48 μB per cell
# - Distance to the lowest polymorph of the same formula: 4 meV per atom
data_Sr2CaSi2
_cell_length_a 7.948
_cell_length_b 7.948
_cell_length_c 4.734
_cell_angle_alpha 90.00
_cell_angle_beta 90.00
_cell_angle_gamma 90.00
_space_group_name_H-M_alt 'P 4/m b m'
_space_group_IT_number 127
_space_group_name_Hall '-P 4 2ab'
loop_
_atom_site_label
_atom_site_fract_x
_atom_site_fract_y
_atom_site_fract_z
_atom_site_occupancy
Sr1 0.176 0.324 0.000 1
Ca1 0.000 0.000 0.500 1
Si1 0.108 0.608 0.500 1

***

6.
# GGA-PBE Zn4CuNiPt, optimized geometry
# - Total magnetic moment: 0.00 μB per cell
# - DFT formation energy: -0.4 eV/f.u.
data_Zn4CuNiPt
_cell_length_a 8.404
_cell_length_b 12.316
_cell_length_c 4.775
_cell_angle_alpha 90.00
_cell_angle_beta 90.00
_cell_angle_gamma 90.00
_space_group_name_H-M_alt 'C m c m'
_space_group_IT_number 63
_space_group_name_Hall '-C 2c 2'
loop_
_atom_site_label
_atom_site_fract_x
_atom_site_fract_y
_atom_site_fract_z
_atom_site_occupancy
Zn1 0.000 0.054 0.250 1
Zn2 0.000 0.444 0.250 1
Zn3 0.250 0.250 0.000 1
Cu1 0.000 0.144 0.750 1
Ni1 0.000 0.246 0.250 1
Pt1 0.000 0.350 0.750 1